No. 1
{
  "formula": "Sn2Ge2Se",
  "functional": "PBE-GGA",
  "state": "optimized geometry",
  "lattice": [[7.772, 0.000, 0.000], [0.000, 7.772, 0.000], [0.000, 0.000, 3.972]],
  "species": ["Sn", "Sn", "Sn", "Sn", "Ge", "Ge", "Ge", "Ge", "Se", "Se"],
  "fractional_positions": [[0.857, 0.357, 0.500], [0.643, 0.857, 0.500], [0.143, 0.643, 0.500], [0.357, 0.143, 0.500], [0.164, 0.336, 0.000], [0.836, 0.664, 0.000], [0.336, 0.836, 0.000], [0.664, 0.164, 0.000], [0.000, 0.000, 0.000], [0.500, 0.500, 0.000]],
  "total_magnetization_mub_per_cell": 0.00,
  "raw_formation_energy_ev_per_atom": 0.1756,
  "relative_energy_kj_per_mol_atoms": 0.9,
  "e_tot_ev_per_cell": -39.7
}

---

No. 2
{
  "formula": "SnGe3Se",
  "functional": "PBE-GGA",
  "state": "optimized geometry",
  "lattice": [[5.161, 0.000, 0.000], [0.000, 5.161, 0.000], [0.000, 0.000, 5.161]],
  "species": ["Ge", "Ge", "Ge", "Sn", "Se"],
  "fractional_positions": [[0.000, 0.500, 0.000], [0.000, 0.000, 0.500], [0.500, 0.000, 0.000], [0.500, 0.500, 0.500], [0.000, 0.000, 0.000]],
  "total_magnetization_mub_per_cell": 0.00,
  "raw_formation_energy_ev_per_atom": 0.5783,
  "relative_energy_kj_per_mol_atoms": 0.0,
  "e_tot_ev_per_cell": -18.4
}

---

No. 3
{
  "formula": "SnGeSe2",
  "functional": "PBE-GGA",
  "state": "optimized geometry",
  "lattice": [[4.029, 0.000, 0.000], [0.000, 4.562, 0.000], [0.000, 0.000, 11.379]],
  "species": ["Se", "Se", "Se", "Se", "Sn", "Sn", "Ge", "Ge"],
  "fractional_positions": [[0.500, 0.755, 0.641], [0.000, 0.224, 0.847], [0.500, 0.245, 0.141], [0.000, 0.776, 0.347], [0.500, 0.362, 0.386], [0.500, 0.638, 0.886], [0.000, 0.876, 0.126], [0.000, 0.124, 0.626]],
  "total_magnetization_mub_per_cell": 0.00,
  "raw_formation_energy_ev_per_atom": -0.3259,
  "e_tot_ev_per_cell": -33.8
}

---

No. 4
{
  "formula": "SnGeSe2",
  "functional": "PBE-GGA",
  "state": "optimized geometry",
  "lattice": [[-0.384, 2.051, -3.577], [-6.952, -1.895, -0.340], [0.629, 6.245, 3.514]],
  "species": ["Se", "Se", "Se", "Se", "Sn", "Sn", "Ge", "Ge"],
  "fractional_positions": [[0.750, 0.264, 0.511], [0.250, 0.270, 0.002], [0.250, 0.736, 0.489], [0.750, 0.730, 0.998], [0.250, 0.996, 0.254], [0.750, 0.004, 0.746], [0.750, 0.510, 0.243], [0.250, 0.490, 0.757]],
  "total_magnetization_mub_per_cell": 0.00,
  "raw_formation_energy_ev_per_atom": -0.3159,
  "e_tot_ev_per_cell": -33.7
}

---

No. 5
{
  "formula": "SnGeSe2",
  "functional": "PBE-GGA",
  "state": "optimized geometry",
  "lattice": [[-1.350, 2.591, 5.956], [-0.398, -6.105, 2.566], [5.364, -1.598, 5.605]],
  "species": ["Sn", "Sn", "Ge", "Ge", "Se", "Se", "Se", "Se"],
  "fractional_positions": [[0.750, 0.250, 0.500], [0.000, 0.000, 0.000], [0.250, 0.750, 0.500], [0.500, 0.500, 0.000], [0.599, 0.125, 0.250], [0.375, 0.401, 0.750], [0.151, 0.625, 0.250], [0.875, 0.849, 0.750]],
  "total_magnetization_mub_per_cell": 0.00,
  "raw_formation_energy_ev_per_atom": -0.0720,
  "e_tot_ev_per_cell": -31.8
}

---

No. 6
{
  "formula": "Sn4GeSe5",
  "functional": "PBE-GGA",
  "state": "optimized geometry",
  "lattice": [[5.451, 0.000, 2.629], [2.725, 6.692, 1.315], [-0.182, 0.000, 7.342]],
  "species": ["Se", "Se", "Se", "Se", "Se", "Sn", "Sn", "Sn", "Sn", "Ge"],
  "fractional_positions": [[0.700, 0.192, 0.389], [0.089, 0.611, 0.192], [0.466, 0.000, 0.000], [0.892, 0.389, 0.808], [0.280, 0.808, 0.611], [0.612, 0.599, 0.200], [0.212, 0.200, 0.401], [0.412, 0.401, 0.800], [0.813, 0.800, 0.599], [0.034, 0.000, 0.000]],
  "total_magnetization_mub_per_cell": 0.00,
  "raw_formation_energy_ev_per_atom": -0.3865,
  "e_tot_ev_per_cell": -41.9
}

---

No. 7
{
  "formula": "SnGeSe",
  "functional": "PBE-GGA",
  "state": "optimized geometry",
  "lattice": [[-4.840, -1.841, -2.556], [-0.872, -2.036, 3.117], [-1.205, 3.615, -0.321]],
  "species": ["Ge", "Sn", "Se"],
  "fractional_positions": [[0.973, 0.000, 0.000], [0.337, 0.333, 0.667], [0.690, 0.667, 0.333]],
  "total_magnetization_mub_per_cell": 0.00,
  "raw_formation_energy_ev_per_atom": 0.0008,
  "e_tot_ev_per_cell": -12.1
}

---

No. 8
{
  "formula": "SnGeSe2",
  "functional": "PBE-GGA",
  "state": "optimized geometry",
  "lattice": [[7.556, -2.411, 4.170], [7.569, -4.690, 1.012], [8.869, -1.026, 0.775]],
  "species": ["Se", "Se", "Ge", "Sn"],
  "fractional_positions": [[0.898, 0.898, 0.898], [0.102, 0.102, 0.102], [0.000, 0.000, 0.000], [0.500, 0.500, 0.500]],
  "total_magnetization_mub_per_cell": 0.00,
  "raw_formation_energy_ev_per_atom": -0.0104,
  "e_tot_ev_per_cell": -15.6
}

---

No. 9
{
  "formula": "Sn2Ge2Se7",
  "functional": "PBE-GGA",
  "state": "optimized geometry",
  "lattice": [[-3.636, 2.707, -4.429], [-1.583, -7.140, -1.688], [-4.338, 1.597, 5.913]],
  "species": ["Se", "Se", "Se", "Se", "Se", "Se", "Se", "Sn", "Sn", "Ge", "Ge"],
  "fractional_positions": [[0.242, 0.424, 0.424], [0.717, 0.430, 0.077], [0.717, 0.077, 0.430], [0.283, 0.570, 0.923], [0.000, 0.000, 0.000], [0.758, 0.576, 0.576], [0.283, 0.923, 0.570], [0.500, 0.304, 0.696], [0.500, 0.696, 0.304], [0.097, 0.760, 0.760], [0.903, 0.240, 0.240]],
  "total_magnetization_mub_per_cell": 0.00,
  "raw_formation_energy_ev_per_atom": -0.0999,
  "e_tot_ev_per_cell": -42.7
}

---

No. 10
{
  "formula": "SnGeSe3",
  "functional": "PBE-GGA",
  "state": "optimized geometry",
  "lattice": [[-2.318, -4.470, -0.075], [3.388, -1.812, 3.256], [-2.917, 1.448, 3.841]],
  "species": ["Ge", "Se", "Se", "Se", "Sn"],
  "fractional_positions": [[0.000, 0.000, 0.000], [0.500, 0.000, 0.000], [0.000, 0.000, 0.500], [0.000, 0.500, 0.000], [0.500, 0.500, 0.500]],
  "total_magnetization_mub_per_cell": 0.00,
  "raw_formation_energy_ev_per_atom": 0.1230,
  "e_tot_ev_per_cell": -18.5
}

---

No. 11
{
  "formula": "Sn2Ge2Se",
  "functional": "PBE-GGA",
  "state": "optimized geometry",
  "lattice": [[7.883, 0.000, 0.000], [0.000, 7.883, 0.000], [0.000, 0.000, 4.087]],
  "species": ["Ge", "Ge", "Ge", "Ge", "Se", "Se", "Sn", "Sn", "Sn", "Sn"],
  "fractional_positions": [[0.887, 0.387, 0.500], [0.613, 0.887, 0.500], [0.387, 0.113, 0.500], [0.113, 0.613, 0.500], [0.000, 0.000, 0.000], [0.500, 0.500, 0.000], [0.314, 0.814, 0.000], [0.814, 0.686, 0.000], [0.686, 0.186, 0.000], [0.186, 0.314, 0.000]],
  "total_magnetization_mub_per_cell": 0.00,
  "raw_formation_energy_ev_per_atom": 0.1660,
  "relative_energy_kj_per_mol_atoms": 0.0,
  "e_tot_ev_per_cell": -39.8
}

---

No. 12
{
  "formula": "TaSnGeSe2",
  "functional": "PBE-GGA",
  "state": "optimized geometry",
  "lattice": [[-2.551, 0.889, 4.238], [-0.331, -4.959, 0.842], [4.318, 0.148, 2.567]],
  "species": ["Se", "Se", "Sn", "Ge", "Ta"],
  "fractional_positions": [[0.000, 0.000, 0.500], [0.500, 0.000, 0.000], [0.500, 0.500, 0.500], [0.000, 0.000, 0.000], [0.000, 0.500, 0.000]],
  "total_magnetization_mub_per_cell": 1.17,
  "raw_formation_energy_ev_per_atom": 0.8327,
  "e_tot_ev_per_cell": -23.3
}

---

No. 13
{
  "formula": "SnGe2Te2Se",
  "functional": "PBE-GGA",
  "state": "optimized geometry",
  "lattice": [[6.214, 0.000, 0.000], [0.000, 11.518, 0.000], [0.000, -5.759, 5.962]],
  "species": ["Ge", "Ge", "Ge", "Ge", "Sn", "Sn", "Te", "Te", "Te", "Te", "Se", "Se"],
  "fractional_positions": [[0.758, 0.842, 0.324], [0.758, 0.518, 0.676], [0.258, 0.158, 0.676], [0.258, 0.482, 0.324], [0.272, 0.831, 0.000], [0.772, 0.169, 0.000], [0.724, 0.523, 0.349], [0.224, 0.477, 0.651], [0.224, 0.825, 0.349], [0.724, 0.175, 0.651], [0.737, 0.826, 0.000], [0.237, 0.174, 0.000]],
  "total_magnetization_mub_per_cell": 0.00,
  "raw_formation_energy_ev_per_atom": -0.1229,
  "e_tot_ev_per_cell": -47.5
}

---

No. 14
{
  "formula": "Sn4GeTe4Se",
  "functional": "PBE-GGA",
  "state": "optimized geometry",
  "lattice": [[-17.881, -5.577, 0.809], [-17.306, -6.307, -3.497], [-16.206, -9.410, -0.570]],
  "species": ["Te", "Te", "Te", "Te", "Se", "Sn", "Sn", "Sn", "Sn", "Ge"],
  "fractional_positions": [[0.098, 0.098, 0.098], [0.308, 0.308, 0.308], [0.905, 0.905, 0.905], [0.501, 0.501, 0.501], [0.700, 0.700, 0.700], [0.198, 0.198, 0.198], [0.795, 0.795, 0.795], [0.602, 0.602, 0.602], [0.392, 0.392, 0.392], [0.000, 0.000, 0.000]],
  "total_magnetization_mub_per_cell": 0.00,
  "raw_formation_energy_ev_per_atom": -0.2708,
  "e_tot_ev_per_cell": -39.4
}

---

No. 15
{
  "formula": "SnGe4Te4Se",
  "functional": "PBE-GGA",
  "state": "optimized geometry",
  "lattice": [[18.436, 0.008, 0.004], [17.948, 4.211, 0.004], [17.948, 2.081, 3.661]],
  "species": ["Ge", "Ge", "Ge", "Ge", "Te", "Te", "Te", "Te", "Se", "Sn"],
  "fractional_positions": [[0.002, 0.002, 0.002], [0.603, 0.603, 0.603], [0.804, 0.804, 0.804], [0.203, 0.203, 0.203], [0.497, 0.497, 0.497], [0.296, 0.296, 0.296], [0.696, 0.696, 0.696], [0.896, 0.896, 0.896], [0.100, 0.100, 0.100], [0.407, 0.407, 0.407]],
  "total_magnetization_mub_per_cell": 0.00,
  "raw_formation_energy_ev_per_atom": -0.1667,
  "e_tot_ev_per_cell": -40.2
}

---

No. 16
{
  "formula": "Tm4SnGeSe2",
  "functional": "PBE-GGA",
  "state": "optimized geometry",
  "lattice": [[4.101, 0.000, 0.000], [0.000, 7.202, -0.158], [0.000, 2.520, 6.770]],
  "species": ["Se", "Se", "Tm", "Tm", "Tm", "Tm", "Ge", "Sn"],
  "fractional_positions": [[0.500, 0.000, 0.500], [0.000, 0.000, 0.000], [0.000, 0.750, 0.739], [0.500, 0.740, 0.263], [0.500, 0.260, 0.737], [0.000, 0.250, 0.261], [0.000, 0.500, 0.500], [0.500, 0.500, 0.000]],
  "total_magnetization_mub_per_cell": 0.00,
  "raw_formation_energy_ev_per_atom": -1.2329,
  "e_tot_ev_per_cell": -43.3
}

---

No. 17
{
  "formula": "Y4SnGeSe2",
  "functional": "PBE-GGA",
  "state": "optimized geometry",
  "lattice": [[-5.350, -0.659, 2.491], [-0.044, -5.717, -1.607], [5.278, 1.719, 4.713]],
  "species": ["Y", "Y", "Y", "Y", "Se", "Se", "Ge", "Sn"],
  "fractional_positions": [[0.246, 0.246, 0.491], [0.754, 0.754, 0.509], [0.505, 0.005, 0.010], [0.995, 0.495, 0.990], [0.250, 0.750, 0.500], [0.000, 0.000, 0.000], [0.750, 0.250, 0.500], [0.500, 0.500, 0.000]],
  "total_magnetization_mub_per_cell": 0.00,
  "raw_formation_energy_ev_per_atom": -1.3409,
  "e_tot_ev_per_cell": -52.2
}

---

No. 18
{
  "formula": "SrGeSe2",
  "functional": "PBE-GGA",
  "state": "optimized geometry",
  "lattice": [[4.191, 0.000, 0.000], [2.095, 3.629, 0.000], [2.095, 1.210, 7.180]],
  "species": ["Ge", "Se", "Se", "Sr"],
  "fractional_positions": [[0.668, 0.668, 0.997], [0.259, 0.259, 0.224], [0.075, 0.075, 0.776], [0.499, 0.499, 0.502]],
  "total_magnetization_mub_per_cell": 0.00,
  "raw_formation_energy_ev_per_atom": -1.0078,
  "e_tot_ev_per_cell": -17.3
}

---

No. 19
{
  "formula": "SrGeSe3",
  "functional": "PBE-GGA",
  "state": "optimized geometry",
  "lattice": [[-3.374, -1.704, 4.297], [1.296, -5.455, -1.146], [4.437, 0.297, 3.602]],
  "species": ["Se", "Se", "Se", "Ge", "Sr"],
  "fractional_positions": [[0.000, 0.000, 0.500], [0.000, 0.500, 0.000], [0.500, 0.000, 0.000], [0.500, 0.500, 0.500], [0.000, 0.000, 0.000]],
  "total_magnetization_mub_per_cell": 2.00,
  "raw_formation_energy_ev_per_atom": 0.3305,
  "relative_energy_kj_per_mol_atoms": 121.1,
  "e_tot_ev_per_cell": -15.1
}

---

No. 20
{
  "formula": "SrGeSe",
  "functional": "PBE-GGA",
  "state": "optimized geometry",
  "lattice": [[-3.864, 0.698, -2.630], [1.702, -2.411, -3.139], [-2.567, -6.244, 6.360]],
  "species": ["Ge", "Ge", "Se", "Se", "Sr", "Sr"],
  "fractional_positions": [[0.746, 0.500, 0.000], [0.254, 0.500, 0.000], [0.833, 0.333, 0.667], [0.167, 0.667, 0.333], [0.346, 0.846, 0.693], [0.654, 0.154, 0.307]],
  "total_magnetization_mub_per_cell": 0.00,
  "raw_formation_energy_ev_per_atom": -0.8800,
  "e_tot_ev_per_cell": -24.8
}

---

No. 21
{
  "formula": "Sr4GeSe5",
  "functional": "PBE-GGA",
  "state": "optimized geometry",
  "lattice": [[6.266, 0.000, 0.000], [3.133, 6.941, 0.000], [3.133, 0.000, 6.941]],
  "species": ["Se", "Se", "Se", "Se", "Se", "Sr", "Sr", "Sr", "Sr", "Ge"],
  "fractional_positions": [[0.100, 0.612, 0.194], [0.294, 0.806, 0.612], [0.712, 0.194, 0.388], [0.450, 0.000, 0.000], [0.906, 0.388, 0.806], [0.202, 0.200, 0.400], [0.402, 0.400, 0.800], [0.802, 0.800, 0.600], [0.602, 0.600, 0.200], [0.041, 0.000, 0.000]],
  "total_magnetization_mub_per_cell": 0.00,
  "raw_formation_energy_ev_per_atom": -1.6731,
  "e_tot_ev_per_cell": -45.5
}

---

No. 22
{
  "formula": "SrGeSe2",
  "functional": "PBE-GGA",
  "state": "optimized geometry",
  "lattice": [[6.095, -7.746, 0.133], [8.690, -4.431, 1.421], [2.254, -4.036, 5.846]],
  "species": ["Se", "Se", "Se", "Se", "Sr", "Sr", "Ge", "Ge"],
  "fractional_positions": [[0.106, 0.646, 0.956], [0.894, 0.354, 0.044], [0.646, 0.106, 0.456], [0.354, 0.894, 0.544], [0.500, 0.000, 0.000], [0.000, 0.500, 0.500], [0.000, 0.000, 0.000], [0.000, 0.000, 0.500]],
  "total_magnetization_mub_per_cell": 0.00,
  "raw_formation_energy_ev_per_atom": -0.8640,
  "e_tot_ev_per_cell": -33.4
}

---

No. 23
{
  "formula": "Sr2GeSe",
  "functional": "PBE-GGA",
  "state": "optimized geometry",
  "lattice": [[-3.887, -3.322, -1.960], [-5.233, 1.614, -0.007], [-2.491, 1.191, -4.729]],
  "species": ["Sr", "Sr", "Se", "Ge"],
  "fractional_positions": [[0.750, 0.750, 0.750], [0.250, 0.250, 0.250], [0.500, 0.500, 0.500], [0.000, 0.000, 0.000]],
  "total_magnetization_mub_per_cell": 0.00,
  "raw_formation_energy_ev_per_atom": -0.8297,
  "relative_energy_kj_per_mol_atoms": 0.0,
  "e_tot_ev_per_cell": -14.8
}

---

No. 24
{
  "formula": "Sr5GeSe8",
  "functional": "PBE-GGA",
  "state": "optimized geometry",
  "lattice": [[-1.609, 6.798, -4.309], [-1.021, -6.916, -4.301], [-5.219, 0.739, 6.291]],
  "species": ["Sr", "Sr", "Sr", "Sr", "Sr", "Se", "Se", "Se", "Se", "Se", "Se", "Se", "Se", "Ge"],
  "fractional_positions": [[0.500, 0.000, 0.500], [0.852, 0.870, 0.255], [0.745, 0.597, 0.614], [0.018, 0.403, 0.148], [0.386, 0.130, 0.982], [0.107, 0.788, 0.515], [0.727, 0.212, 0.319], [0.681, 0.409, 0.893], [0.247, 0.305, 0.427], [0.122, 0.695, 0.943], [0.057, 0.180, 0.753], [0.573, 0.820, 0.878], [0.485, 0.591, 0.273], [0.250, 0.500, 0.750]],
  "total_magnetization_mub_per_cell": 0.62,
  "raw_formation_energy_ev_per_atom": -1.2691,
  "e_tot_ev_per_cell": -58.7
}

---

No. 25
{
  "formula": "Sr2GeSe4",
  "functional": "PBE-GGA",
  "state": "optimized geometry",
  "lattice": [[-6.036, -0.207, -3.758], [-3.525, -2.088, 5.778], [0.748, 7.879, 3.305]],
  "species": ["Ge", "Ge", "Sr", "Sr", "Sr", "Sr", "Se", "Se", "Se", "Se", "Se", "Se", "Se", "Se"],
  "fractional_positions": [[0.729, 0.250, 0.804], [0.271, 0.750, 0.196], [0.750, 0.750, 0.562], [0.250, 0.250, 0.438], [0.268, 0.250, 0.942], [0.732, 0.750, 0.058], [0.908, 0.250, 0.087], [0.497, 0.007, 0.256], [0.092, 0.750, 0.913], [0.916, 0.250, 0.616], [0.503, 0.993, 0.744], [0.084, 0.750, 0.384], [0.497, 0.493, 0.256], [0.503, 0.507, 0.744]],
  "total_magnetization_mub_per_cell": 0.00,
  "raw_formation_energy_ev_per_atom": -1.2838,
  "e_tot_ev_per_cell": -61.8
}